# 1
# PBE ZrVRe2I, optimized geometry
data_ZrVRe2I
_chemical_formula_sum 'Zr1 V1 Re2 I1'
_cell_length_a 4.6129
_cell_length_b 4.6129
_cell_length_c 4.9380
_cell_angle_alpha 90.00
_cell_angle_beta 90.00
_cell_angle_gamma 90.00
_space_group_name_H-M_alt 'P 4/m m m'
_space_group_IT_number 123
_space_group_name_Hall '-P 4 2'
loop_
_atom_site_label
_atom_site_fract_x
_atom_site_fract_y
_atom_site_fract_z
Zr1 0.0000 0.0000 0.0000
V1 0.0000 0.0000 0.5000
Re1 0.0000 0.5000 0.5000
I1 0.5000 0.5000 0.0000
# energy relative to the elements, uncorrected = 1.44 eV/atom

***

# 2
# PBE CrCuSi2, optimized geometry
data_CrCuSi2
_chemical_formula_sum 'Cr1 Cu1 Si2'
_cell_length_a 3.2215
_cell_length_b 3.2215
_cell_length_c 4.8565
_cell_angle_alpha 90.00
_cell_angle_beta 90.00
_cell_angle_gamma 90.00
_space_group_name_H-M_alt 'P 4 m m'
_space_group_IT_number 99
loop_
_space_group_symop_operation_xyz
'x,y,z'
'-y,x,z'
'-x,-y,z'
'y,-x,z'
'-x,y,z'
'y,x,z'
'x,-y,z'
'-y,-x,z'
loop_
_atom_site_label
_atom_site_fract_x
_atom_site_fract_y
_atom_site_fract_z
Cr1 0.0000 0.0000 0.0000
Cu1 0.5000 0.5000 0.3034
Si1 0.0000 0.0000 0.5087
Si2 0.5000 0.5000 0.8045
# energy relative to the elements, uncorrected = -0.07 eV/atom

***

# 3
# PBE CoRh2W, optimized geometry
data_CoRh2W
_chemical_formula_sum 'Co3 Rh6 W3'
_cell_length_a 2.7481
_cell_length_b 2.7481
_cell_length_c 25.9091
_cell_angle_alpha 90.00
_cell_angle_beta 90.00
_cell_angle_gamma 120.00
_space_group_name_H-M_alt 'R -3 m'
_space_group_IT_number 166
_space_group_name_Hall '-R 3 2"'
loop_
_atom_site_label
_atom_site_fract_x
_atom_site_fract_y
_atom_site_fract_z
Co1 0.0000 0.0000 0.0000
Rh1 0.0000 0.0000 0.2520
W1 0.0000 0.0000 0.5000
# formation energy = 0.031 eV per atom
# excess energy over the best structure of this formula in the dataset = 0.172 eV/atom

***

# 4
# PBE Ca3AlSi2Pt9, optimized geometry
data_Ca3AlSi2Pt9
_chemical_formula_sum 'Ca3 Al1 Si2 Pt9'
_cell_length_a 5.6918
_cell_length_b 5.6918
_cell_length_c 10.9078
_cell_angle_alpha 90.00
_cell_angle_beta 90.00
_cell_angle_gamma 120.00
_space_group_name_H-M_alt 'P -3 m 1'
_space_group_IT_number 164
_space_group_name_Hall '-P 3 2"'
loop_
_atom_site_label
_atom_site_fract_x
_atom_site_fract_y
_atom_site_fract_z
Ca1 0.0000 0.0000 0.0000
Ca2 0.3333 0.6667 0.7523
Al1 0.0000 0.0000 0.5000
Si1 0.3333 0.6667 0.1649
Pt1 0.0000 0.5000 0.0000
Pt2 0.1624 0.3249 0.3197
# energy relative to the elements, uncorrected = -0.72 eV/atom

***

# 5
# PBE SrVCuS4, optimized geometry
data_SrVCuS4
_chemical_formula_sum 'Sr2 V2 Cu2 S8'
_cell_length_a 6.3046
_cell_length_b 6.3046
_cell_length_c 9.6006
_cell_angle_alpha 90.00
_cell_angle_beta 90.00
_cell_angle_gamma 90.00
_space_group_name_H-M_alt 'I -4'
_space_group_IT_number 82
loop_
_space_group_symop_operation_xyz
'x,y,z'
'y,-x,-z'
'-x,-y,z'
'-y,x,-z'
'x+1/2,y+1/2,z+1/2'
'y+1/2,-x+1/2,-z+1/2'
'-x+1/2,-y+1/2,z+1/2'
'-y+1/2,x+1/2,-z+1/2'
loop_
_atom_site_label
_atom_site_fract_x
_atom_site_fract_y
_atom_site_fract_z
Sr1 0.0000 0.0000 0.0000
V1 0.0000 0.5000 0.7500
Cu1 0.0000 0.0000 0.5000
S1 0.1607 0.2531 0.6329
# energy relative to the elements, uncorrected = -0.98 eV/atom

***

# 6
# PBE Rb3NaCu2F9, optimized geometry
data_Rb3NaCu2F9
_chemical_formula_sum 'Rb3 Na1 Cu2 F9'
_cell_length_a 5.9536
_cell_length_b 5.9536
_cell_length_c 7.3311
_cell_angle_alpha 90.00
_cell_angle_beta 90.00
_cell_angle_gamma 120.00
_space_group_name_H-M_alt 'P -3 m 1'
_space_group_IT_number 164
_space_group_name_Hall '-P 3 2"'
loop_
_atom_site_label
_atom_site_fract_x
_atom_site_fract_y
_atom_site_fract_z
Rb1 0.0000 0.0000 0.0000
Rb2 0.3333 0.6667 0.6592
Na1 0.0000 0.0000 0.5000
Cu1 0.3333 0.6667 0.1589
F1 0.0000 0.5000 0.0000
F2 0.1784 0.3568 0.3110
# energy relative to the elements, uncorrected = -2.22 eV/atom

***

# 7
# PBE KHgTe, optimized geometry
data_KHgTe
_chemical_formula_sum 'K2 Hg2 Te2'
_cell_length_a 3.6902
_cell_length_b 3.6902
_cell_length_c 14.4457
_cell_angle_alpha 90.00
_cell_angle_beta 90.00
_cell_angle_gamma 90.00
_space_group_name_H-M_alt 'I 4 m m'
_space_group_IT_number 107
_space_group_name_Hall 'I 4 -2'
loop_
_atom_site_label
_atom_site_fract_x
_atom_site_fract_y
_atom_site_fract_z
K1 0.0000 0.0000 0.0000
Hg1 0.0000 0.0000 0.6693
Te1 0.0000 0.0000 0.3302
# excess energy over the best structure of this formula in the dataset = 0.102 eV/atom
# energy relative to the elements, uncorrected = -0.37 eV/atom

***

# 8
# PBE K4U5Te2O21, optimized geometry
data_K4U5Te2O21
_chemical_formula_sum 'K4 U5 Te2 O21'
_cell_length_a 7.1141
_cell_length_b 7.1979
_cell_length_c 11.6116
_cell_angle_alpha 100.31
_cell_angle_beta 95.61
_cell_angle_gamma 99.57
_space_group_name_H-M_alt 'P -1'
_space_group_IT_number 2
loop_
_space_group_symop_operation_xyz
'x,y,z'
'-x,-y,-z'
loop_
_atom_site_label
_atom_site_fract_x
_atom_site_fract_y
_atom_site_fract_z
K1 0.0672 0.2927 0.0844
K2 0.1960 0.8432 0.2661
U1 0.2760 0.8708 0.6859
U2 0.3730 0.4278 0.8208
U3 0.5000 0.0000 0.0000
Te1 0.1771 0.3093 0.5160
O1 0.0317 0.8648 0.7317
O2 0.0913 0.7651 0.4903
O3 0.1252 0.3895 0.8666
O4 0.2186 0.5264 0.6425
O5 0.2527 0.1669 0.6294
O6 0.2546 0.9853 0.0476
O7 0.3765 0.7521 0.8479
O8 0.3869 0.5382 0.2320
O9 0.4068 0.1208 0.8403
O10 0.4930 0.1282 0.3742
O11 0.5000 0.5000 0.0000
# energy relative to the elements, uncorrected = -2.57 eV/atom

***

# 9
# PBE TiHgBi3, optimized geometry
data_TiHgBi3
_chemical_formula_sum 'Ti1 Hg1 Bi3'
_cell_length_a 5.4327
_cell_length_b 5.4327
_cell_length_c 5.4327
_cell_angle_alpha 90.00
_cell_angle_beta 90.00
_cell_angle_gamma 90.00
_space_group_name_H-M_alt 'P m -3 m'
_space_group_IT_number 221
_space_group_name_Hall '-P 4 2 3'
loop_
_atom_site_label
_atom_site_fract_x
_atom_site_fract_y
_atom_site_fract_z
Ti1 0.0000 0.0000 0.0000
Hg1 0.5000 0.5000 0.5000
Bi1 0.0000 0.0000 0.5000
# formation energy = 0.158 eV per atom
# excess energy over the best structure of this formula in the dataset = 0.000 eV/atom

***

# 10
# PBE Th2Be3Ge4Rh, optimized geometry
data_Th2Be3Ge4Rh
_chemical_formula_sum 'Th2 Be3 Ge4 Rh1'
_cell_length_a 4.1969
_cell_length_b 4.1969
_cell_length_c 9.6606
_cell_angle_alpha 90.00
_cell_angle_beta 90.00
_cell_angle_gamma 90.00
_space_group_name_H-M_alt 'P -4 m 2'
_space_group_IT_number 115
loop_
_space_group_symop_operation_xyz
'x,y,z'
'y,-x,-z'
'-x,-y,z'
'-y,x,-z'
'-x,y,z'
'-y,-x,-z'
'x,-y,z'
'y,x,-z'
loop_
_atom_site_label
_atom_site_fract_x
_atom_site_fract_y
_atom_site_fract_z
Th1 0.0000 0.5000 0.2490
Be1 0.0000 0.0000 0.0000
Be2 0.0000 0.5000 0.6238
Ge1 0.0000 0.0000 0.5000
Ge2 0.0000 0.5000 0.8612
Ge3 0.5000 0.5000 0.5000
Rh1 0.5000 0.5000 0.0000
# formation energy = -0.480 eV per atom

***

# 11
# PBE TiAlPCl2, optimized geometry
data_TiAlPCl2
_chemical_formula_sum 'Ti1 Al1 P1 Cl2'
_cell_length_a 4.7512
_cell_length_b 4.7512
_cell_length_c 4.9673
_cell_angle_alpha 90.00
_cell_angle_beta 90.00
_cell_angle_gamma 90.00
_space_group_name_H-M_alt 'P 4/m m m'
_space_group_IT_number 123
_space_group_name_Hall '-P 4 2'
loop_
_atom_site_label
_atom_site_fract_x
_atom_site_fract_y
_atom_site_fract_z
Ti1 0.0000 0.0000 0.0000
Al1 0.5000 0.5000 0.5000
P1 0.0000 0.0000 0.5000
Cl1 0.0000 0.5000 0.0000
# excess energy over the best structure of this formula in the dataset = 0.000 eV/atom
# energy relative to the elements, uncorrected = -0.43 eV/atom

***

# 12
# PBE SrTl2SiO4, optimized geometry
data_SrTl2SiO4
_chemical_formula_sum 'Sr2 Tl4 Si2 O8'
_cell_length_a 7.2721
_cell_length_b 8.6943
_cell_length_c 5.4159
_cell_angle_alpha 90.00
_cell_angle_beta 90.00
_cell_angle_gamma 90.00
_space_group_name_H-M_alt 'P m n 21'
_space_group_IT_number 31
loop_
_space_group_symop_operation_xyz
'x,y,z'
'-x+1/2,-y,z+1/2'
'-x,y,z'
'x+1/2,-y,z+1/2'
loop_
_atom_site_label
_atom_site_fract_x
_atom_site_fract_y
_atom_site_fract_z
Sr1 0.0000 0.0950 0.0000
Tl1 0.2497 0.3131 0.5014
Si1 0.0000 0.8829 0.4909
O1 0.0000 0.0749 0.5277
O2 0.0000 0.8470 0.1878
O3 0.1904 0.8135 0.6116
# energy relative to the elements, uncorrected = -2.06 eV/atom